# 1
CeNpMoN3 | PBE | optimized geometry

a b c (Å): 6.2245 4.2078 7.9489
angles (deg): 90.00 111.34 90.00
Sites, in units of the cell vectors:
Ce 0.2049 0.2500 0.1421
Ce 0.7951 0.7500 0.8579
Np 0.1954 0.2500 0.6701
Np 0.8046 0.7500 0.3299
Mo 0.3867 0.7500 0.4357
Mo 0.6133 0.2500 0.5643
N 0.1581 0.7500 0.5589
N 0.2027 0.7500 0.9963
N 0.4053 0.7500 0.1496
N 0.5947 0.2500 0.8504
N 0.7973 0.2500 0.0037
N 0.8419 0.2500 0.4411

Summary:
DFT total energy = -9.608 eV/atom
Energy relative to the elements, uncorrected = -0.495 eV/atom

---

# 2
CePa2MoN4 | PBE | optimized geometry

a b c (Å): 6.2199 6.2199 11.7835
angles (deg): 90.00 90.00 148.66
Sites, in units of the cell vectors:
Ce 0.1091 0.8909 0.7500
Ce 0.8909 0.1091 0.2500
Pa 0.3678 0.6322 0.5513
Pa 0.3678 0.6322 0.9487
Pa 0.6322 0.3678 0.0513
Pa 0.6322 0.3678 0.4487
Mo 0.1521 0.8479 0.2500
Mo 0.8479 0.1521 0.7500
N 0.0000 0.0000 0.0000
N 0.0000 0.0000 0.5000
N 0.2754 0.7246 0.1194
N 0.2754 0.7246 0.3806
N 0.4602 0.5398 0.7500
N 0.5398 0.4602 0.2500
N 0.7246 0.2754 0.6194
N 0.7246 0.2754 0.8806

Summary:
DFT total energy = -9.889 eV/atom
Energy relative to the elements, uncorrected = -1.257 eV/atom

---

# 3
Ce2PaMoN5 | PBE | optimized geometry

a b c (Å): 6.4649 6.4649 5.9785
angles (deg): 90.00 90.00 90.00
Sites, in units of the cell vectors:
Ce 0.1666 0.3334 0.0000
Ce 0.3334 0.8334 0.0000
Ce 0.6666 0.1666 0.0000
Ce 0.8334 0.6666 0.0000
Pa 0.0000 0.0000 0.5000
Pa 0.5000 0.5000 0.5000
Mo 0.0000 0.5000 0.5000
Mo 0.5000 0.0000 0.5000
N 0.0000 0.0000 0.0000
N 0.1582 0.6582 0.2718
N 0.1582 0.6582 0.7282
N 0.3418 0.1582 0.2718
N 0.3418 0.1582 0.7282
N 0.5000 0.5000 0.0000
N 0.6582 0.8418 0.2718
N 0.6582 0.8418 0.7282
N 0.8418 0.3418 0.2718
N 0.8418 0.3418 0.7282

Summary:
DFT total energy = -9.118 eV/atom
Energy relative to the elements, uncorrected = -0.915 eV/atom

---

# 4
Ce3Pa2MoN6 | PBE | optimized geometry

a b c (Å): 5.9338 5.9338 6.0540
angles (deg): 99.37 99.37 120.00
Sites, in units of the cell vectors:
Ce 0.0000 0.0000 0.0000
Ce 0.3351 0.6649 0.0000
Ce 0.6649 0.3351 0.0000
Pa 0.1667 0.8333 0.5000
Pa 0.8333 0.1667 0.5000
Mo 0.5000 0.5000 0.5000
N 0.1018 0.4266 0.2780
N 0.2511 0.2511 0.7257
N 0.4266 0.1018 0.2780
N 0.5734 0.8982 0.7220
N 0.7489 0.7489 0.2743
N 0.8982 0.5734 0.7220

Summary:
DFT total energy = -9.519 eV/atom
Energy relative to the elements, uncorrected = -1.388 eV/atom

---

# 5
Ce2MoPdN5 | PBE | optimized geometry

a b c (Å): 6.7236 6.7236 10.4833
angles (deg): 90.00 90.00 151.52
Sites, in units of the cell vectors:
Ce 0.0999 0.9001 0.5000
Ce 0.1486 0.8514 0.1248
Ce 0.8514 0.1486 0.6248
Ce 0.9001 0.0999 0.0000
Mo 0.2030 0.7970 0.8396
Mo 0.7970 0.2030 0.3396
Pd 0.4744 0.5256 0.2657
Pd 0.5256 0.4744 0.7657
N 0.0668 0.9332 0.8977
N 0.2735 0.7265 0.4717
N 0.3195 0.6805 0.1975
N 0.3648 0.6352 0.8128
N 0.4838 0.5162 0.5786
N 0.5162 0.4838 0.0786
N 0.6352 0.3648 0.3128
N 0.6805 0.3195 0.6975
N 0.7265 0.2735 0.9717
N 0.9332 0.0668 0.3977

Summary:
DFT total energy = -8.351 eV/atom
Energy relative to the elements, uncorrected = -0.626 eV/atom

---

# 6
Ce2PmMoN5 | PBE | optimized geometry

a b c (Å): 7.4818 7.4818 7.4818
angles (deg): 127.01 127.01 78.24
Sites, in units of the cell vectors:
Ce 0.1723 0.6723 0.8447
Ce 0.3277 0.1723 0.5000
Ce 0.6723 0.8277 0.5000
Ce 0.8277 0.3277 0.1553
Pm 0.2500 0.2500 0.0000
Pm 0.7500 0.7500 0.0000
Mo 0.2500 0.7500 0.5000
Mo 0.7500 0.2500 0.5000
N 0.0000 0.0000 0.0000
N 0.0079 0.1992 0.5000
N 0.1992 0.6992 0.1913
N 0.3008 0.4921 0.5000
N 0.4921 0.9921 0.1913
N 0.5000 0.5000 0.0000
N 0.5079 0.0079 0.8087
N 0.6992 0.5079 0.5000
N 0.8008 0.3008 0.8087
N 0.9921 0.8008 0.5000

Summary:
DFT total energy = -8.825 eV/atom
Energy relative to the elements, uncorrected = -1.149 eV/atom

---

# 7
CePmMoN3 | PBE | optimized geometry

a b c (Å): 7.5516 3.3702 7.7171
angles (deg): 90.00 96.06 90.00
Sites, in units of the cell vectors:
Ce 0.1311 0.2500 0.1681
Ce 0.8689 0.7500 0.8319
Pm 0.3424 0.7500 0.8218
Pm 0.6576 0.2500 0.1782
Mo 0.3964 0.7500 0.4186
Mo 0.6036 0.2500 0.5814
N 0.0922 0.2500 0.8809
N 0.3249 0.2500 0.5743
N 0.3774 0.7500 0.1528
N 0.6226 0.2500 0.8472
N 0.6751 0.7500 0.4257
N 0.9078 0.7500 0.1191

Summary:
DFT total energy = -8.696 eV/atom
Energy relative to the elements, uncorrected = -0.948 eV/atom

---

# 8
CePr2MoN5 | PBE | optimized geometry

a b c (Å): 7.3664 7.3664 10.5417
angles (deg): 90.00 90.00 151.89
Sites, in units of the cell vectors:
Ce 0.2081 0.7919 0.5000
Ce 0.7919 0.2081 0.0000
Pr 0.1084 0.8916 0.1691
Pr 0.1445 0.8555 0.7959
Pr 0.8555 0.1445 0.2959
Pr 0.8916 0.1084 0.6691
Mo 0.4770 0.5230 0.9348
Mo 0.5230 0.4770 0.4348
N 0.0360 0.9640 0.5125
N 0.2812 0.7188 0.1539
N 0.3327 0.6673 0.8710
N 0.3721 0.6279 0.4900
N 0.4865 0.5135 0.2680
N 0.5135 0.4865 0.7680
N 0.6279 0.3721 0.9900
N 0.6673 0.3327 0.3710
N 0.7188 0.2812 0.6539
N 0.9640 0.0360 0.0125

Summary:
DFT total energy = -8.609 eV/atom
Energy relative to the elements, uncorrected = -1.059 eV/atom